A geometry-optimized VSiRhF2 structure. Source: Alexandria, functional GGA+U.

Summary:
- Total magnetic moment: 2.673 μB per cell
- Calculated volume: 15.76 A^3/atom
- Fermi-level density of states: 2.93 states/eV per cell
- E: -25.61 eV per cell

abc: 3.6913 3.6913 5.7823
angles: 90.00 90.00 90.00
Sites, in units of the cell vectors:
V  0.0000  0.0000  0.0000
Si  0.0000  0.0000  0.5000
Rh  0.5000  0.5000  0.0000
F  0.0000  0.5000  0.5000
F  0.5000  0.0000  0.5000